[1]
Here is a relaxed structure of Nd2BiC from Alexandria. Energies are from PBE.

Lattice parameters (Å, degrees): 3.6928 3.6928 9.6970 79.02 79.02 60.00
Atoms (fractional coordinates):
C (0.5000, 0.5000, 0.5000)
Nd (0.1169, 0.1169, 0.6493)
Nd (0.8831, 0.8831, 0.3507)
Bi (0.0000, 0.0000, 0.0000)

Results
The calculation puts the electronic total energy at -5.839 eV per atom. For the total magnetization, the calculation gives 0.0 μB/f.u. Its energy of formation is -179 meV/atom. As for the crystal system: trigonal.

[2]
Here is a relaxed structure of Ho2TmAl6 from Alexandria. Energies are from PBE.

Lattice parameters (Å, degrees): 3.4270 7.8917 7.8917 120.00 90.00 90.00
Atoms (fractional coordinates):
Ho (0.0000, 0.3333, 0.6667)
Ho (0.0000, 0.6667, 0.3333)
Tm (0.0000, 0.0000, 0.0000)
Al (0.5000, 0.3329, 0.3329)
Al (0.5000, 0.6671, 0.6671)
Al (0.5000, 0.0000, 0.6671)
Al (0.5000, 0.6671, 0.0000)
Al (0.5000, 0.3329, 0.0000)
Al (0.5000, 0.0000, 0.3329)

Results
The calculation puts the electronic total energy at -4.498 eV per atom. As for the energy above the most stable polymorph in this dataset: 0 meV/atom. For the total magnetization, the calculation gives 0.0 μB/f.u. Its energy of formation is -489 meV/atom. As for the crystal system: hexagonal.

[3]
Here is a relaxed structure of SrIr from Alexandria. Energies are from PBE.

Lattice parameters (Å, degrees): 12.9434 4.4003 5.7990 90.00 90.00 90.00
Atoms (fractional coordinates):
Sr (0.2651, 0.0000, 0.3705)
Sr (0.7349, 0.0000, 0.3705)
Sr (0.7651, 0.5000, 0.8705)
Sr (0.2349, 0.5000, 0.8705)
Sr (0.0000, 0.0000, 0.9880)
Sr (0.5000, 0.5000, 0.4880)
Ir (0.4000, 0.0000, 0.8999)
Ir (0.6000, 0.0000, 0.8999)
Ir (0.9000, 0.5000, 0.3999)
Ir (0.1000, 0.5000, 0.3999)
Ir (0.0000, 0.0000, 0.4732)
Ir (0.5000, 0.5000, 0.9732)

Results
The calculation puts the electronic total energy at -5.270 eV per atom. For the total magnetization, the calculation gives 0.0 μB/f.u. Its energy of formation is 1 meV/atom. As for the crystal system: orthorhombic.

[4]
Here is a relaxed structure of NaPuGe2 from Alexandria. Energies are from PBE.

Lattice parameters (Å, degrees): 2.9406 5.4231 5.4231 90.00 90.00 90.00
Atoms (fractional coordinates):
Na (0.5000, 0.5000, 0.5000)
Ge (0.0000, 0.0000, 0.5000)
Ge (0.0000, 0.5000, 0.0000)
Pu (0.5000, 0.0000, 0.0000)

Results
The calculation puts the electronic total energy at -6.416 eV per atom. For the total magnetization, the calculation gives 5.0 μB/f.u. Its energy of formation is -195 meV/atom. As for the crystal system: tetragonal.

[5]
Here is a relaxed structure of TaV2Ge6 from Alexandria. Energies are from PBE.

Lattice parameters (Å, degrees): 4.9024 4.8813 6.6862 90.00 90.00 120.14
Atoms (fractional coordinates):
Ta (0.5000, 0.0000, 0.0000)
V (0.0000, 0.5000, 0.6699)
V (0.5000, 0.5000, 0.3301)
Ge (0.8346, 0.6692, 0.0000)
Ge (0.3322, 0.1720, 0.6606)
Ge (0.8398, 0.1720, 0.3394)
Ge (0.1654, 0.3308, 0.0000)
Ge (0.6678, 0.8280, 0.6606)
Ge (0.1602, 0.8280, 0.3394)

Results
The calculation puts the electronic total energy at -6.603 eV per atom. For the total magnetization, the calculation gives 0.0 μB/f.u. Its energy of formation is -182 meV/atom. As for the crystal system: orthorhombic.

[6]
Here is a relaxed structure of GdCO4 from Alexandria. Energies are from PBE.

Lattice parameters (Å, degrees): 12.2532 12.2532 9.8057 90.00 90.00 120.00
Atoms (fractional coordinates):
Gd (0.4371, 0.2212, 0.2600)
Gd (0.7788, 0.2160, 0.2600)
Gd (0.7840, 0.5629, 0.2600)
Gd (0.4371, 0.2212, 0.7400)
Gd (0.7788, 0.2160, 0.7400)
Gd (0.7840, 0.5629, 0.7400)
Gd (0.1046, 0.5540, 0.2430)
Gd (0.4460, 0.5506, 0.2430)
Gd (0.4494, 0.8954, 0.2430)
Gd (0.1046, 0.5540, 0.7570)
Gd (0.4460, 0.5506, 0.7570)
Gd (0.4494, 0.8954, 0.7570)
Gd (0.1188, 0.8884, 0.2457)
Gd (0.1116, 0.2304, 0.2457)
Gd (0.7696, 0.8812, 0.2457)
Gd (0.1188, 0.8884, 0.7543)
Gd (0.1116, 0.2304, 0.7543)
Gd (0.7696, 0.8812, 0.7543)
C (0.1607, 0.4709, 0.5000)
C (0.5291, 0.6898, 0.5000)
C (0.3102, 0.8393, 0.5000)
C (0.5551, 0.4260, 0.5000)
C (0.5740, 0.1291, 0.5000)
C (0.8709, 0.4449, 0.5000)
C (0.1975, 0.0301, 0.5000)
C (0.9699, 0.1674, 0.5000)
C (0.8326, 0.8025, 0.5000)
C (0.2418, 0.7810, 0.0000)
C (0.2190, 0.4608, 0.0000)
C (0.5392, 0.7582, 0.0000)
C (0.8896, 0.7961, 0.0000)
C (0.2039, 0.0935, 0.0000)
C (0.9065, 0.1104, 0.0000)
C (0.4891, 0.3565, 0.0000)
C (0.6435, 0.1326, 0.0000)
C (0.8674, 0.5109, 0.0000)
O (0.1495, 0.5711, 0.5000)
O (0.4289, 0.5785, 0.5000)
O (0.4215, 0.8505, 0.5000)
O (0.1645, 0.4231, 0.3839)
O (0.5769, 0.7413, 0.3839)
O (0.2587, 0.8355, 0.3839)
O (0.1645, 0.4231, 0.6161)
O (0.5769, 0.7413, 0.6161)
O (0.2587, 0.8355, 0.6161)
O (0.4918, 0.3040, 0.5000)
O (0.6960, 0.1878, 0.5000)
O (0.8122, 0.5082, 0.5000)
O (0.5145, 0.1005, 0.3847)
O (0.8995, 0.4139, 0.3847)
O (0.5861, 0.4855, 0.3847)
O (0.5145, 0.1005, 0.6153)
O (0.8995, 0.4139, 0.6153)
O (0.5861, 0.4855, 0.6153)
O (0.0960, 0.9206, 0.5000)
O (0.0794, 0.1754, 0.5000)
O (0.8246, 0.9040, 0.5000)
O (0.2471, 0.0813, 0.3845)
O (0.9187, 0.1659, 0.3845)
O (0.8341, 0.7529, 0.3845)
O (0.2471, 0.0813, 0.6155)
O (0.9187, 0.1659, 0.6155)
O (0.8341, 0.7529, 0.6155)
O (0.1604, 0.5238, 0.0000)
O (0.4762, 0.6367, 0.0000)
O (0.3633, 0.8396, 0.0000)
O (0.1811, 0.7520, 0.1147)
O (0.2480, 0.4292, 0.1147)
O (0.5708, 0.8189, 0.1147)
O (0.1811, 0.7520, 0.8853)
O (0.2480, 0.4292, 0.8853)
O (0.5708, 0.8189, 0.8853)
O (0.1515, 0.9719, 0.0000)
O (0.0281, 0.1797, 0.0000)
O (0.8203, 0.8485, 0.0000)
O (0.9236, 0.7705, 0.1151)
O (0.2295, 0.1532, 0.1151)
O (0.8468, 0.0764, 0.1151)
O (0.9236, 0.7705, 0.8849)
O (0.2295, 0.1532, 0.8849)
O (0.8468, 0.0764, 0.8849)
O (0.4800, 0.2463, 0.0000)
O (0.7537, 0.2336, 0.0000)
O (0.7664, 0.5200, 0.0000)
O (0.4925, 0.4087, 0.1154)
O (0.5913, 0.0838, 0.1154)
O (0.9162, 0.5075, 0.1154)
O (0.4925, 0.4087, 0.8846)
O (0.5913, 0.0838, 0.8846)
O (0.9162, 0.5075, 0.8846)
O (0.6667, 0.3333, 0.2449)
O (0.6667, 0.3333, 0.7551)
O (0.3333, 0.6667, 0.2502)
O (0.3333, 0.6667, 0.7498)
O (0.0000, 0.0000, 0.2561)
O (0.0000, 0.0000, 0.7439)
O (0.9944, 0.3346, 0.1957)
O (0.6654, 0.6598, 0.1957)
O (0.3402, 0.0056, 0.1957)
O (0.9944, 0.3346, 0.8043)
O (0.6654, 0.6598, 0.8043)
O (0.3402, 0.0056, 0.8043)
O (0.0049, 0.6719, 0.3027)
O (0.3281, 0.3330, 0.3027)
O (0.6670, 0.9951, 0.3027)
O (0.0049, 0.6719, 0.6973)
O (0.3281, 0.3330, 0.6973)
O (0.6670, 0.9951, 0.6973)

Results
The calculation puts the electronic total energy at -9.215 eV per atom. As for the energy above the most stable polymorph in this dataset: 0 meV/atom. For the total magnetization, the calculation gives 8.0 μB/f.u. Its raw formation energy is -2.025 eV/atom. As for the crystal system: hexagonal.

[7]
Here is a relaxed structure of NaBPS2 from Alexandria. Energies are from PBE.

Lattice parameters (Å, degrees): 4.6098 4.6098 3.8536 90.00 90.00 90.00
Atoms (fractional coordinates):
P (0.0000, 0.0000, 0.5000)
S (0.0000, 0.5000, 0.0000)
S (0.5000, 0.0000, 0.0000)
B (0.0000, 0.0000, 0.0000)
Na (0.5000, 0.5000, 0.5000)

Results
The calculation puts the electronic total energy at -3.952 eV per atom. As for the energy above the most stable polymorph in this dataset: 0 meV/atom. For the total magnetization, the calculation gives 0.0 μB/f.u. Its raw formation energy is 0.381 eV/atom. As for the crystal system: tetragonal.

[8]
Here is a relaxed structure of TbBe6Au6 from Alexandria. Energies are from PBE.

Lattice parameters (Å, degrees): 4.8888 6.6129 6.6129 80.63 68.31 68.31
Atoms (fractional coordinates):
Tb (0.0000, 0.0000, 0.0000)
Be (0.0000, 0.5000, 0.0000)
Be (0.5000, 0.5000, 0.0000)
Be (0.0000, 0.0000, 0.5000)
Be (0.5000, 0.0000, 0.5000)
Be (0.5000, 0.7601, 0.2399)
Be (0.5000, 0.2399, 0.7601)
Au (0.3423, 0.6577, 0.6577)
Au (0.6577, 0.3423, 0.3423)
Au (0.0000, 0.3329, 0.6671)
Au (0.0000, 0.6671, 0.3329)
Au (0.3207, 0.1793, 0.1793)
Au (0.6793, 0.8207, 0.8207)

Results
The calculation puts the electronic total energy at -3.869 eV per atom. For the total magnetization, the calculation gives 0.0 μB/f.u. Its energy of formation is -281 meV/atom. As for the crystal system: orthorhombic.